# 1
PBE HoScAl2, relaxed; N(E_F) = 0.530 states/eV per atom; magnetization = 0.0 μB per formula unit; space-group type = P4/mmm, No. 123; energy of formation from the pure elements = -418.6 meV per atom
1.0
-3.467 0.370 -0.056
-0.048 -0.962 -3.352
-0.738 -6.621 1.911
Sc Al Ho
1 2 1
direct
0.500 0.500 0.000
0.000 0.000 0.771
0.000 0.000 0.229
0.500 0.500 0.500

***

# 2
PBE HoSc2Al, relaxed; N(E_F) = 1.249 states/eV per atom; magnetization = 0.6 μB per formula unit; space-group type = R3m, No. 160; energy of formation from the pure elements = -75.1 meV per atom
1.0
3.349 0.000 0.000
1.674 2.900 0.000
1.674 0.967 10.048
Ho Sc Al
1 2 1
direct
0.501 0.501 0.498
0.073 0.073 0.780
0.260 0.260 0.221
0.666 0.666 0.001

***

# 3
PBE HoSc2Al, relaxed; N(E_F) = 1.332 states/eV per atom; magnetization = 0.0 μB per formula unit; space-group type = P4/mmm, No. 123; energy of formation from the pure elements = -215.2 meV per atom
1.0
4.560 0.000 0.000
0.000 4.515 0.000
0.000 0.000 4.515
Al Sc Ho
1 2 1
direct
0.500 0.000 0.000
0.000 0.000 0.500
0.000 0.500 0.000
0.500 0.500 0.500

***

# 4
PBE Ho5Sc4Al, relaxed; N(E_F) = 1.553 states/eV per atom; magnetization = 0.0 μB per formula unit; space-group type = P4/mmm, No. 123; energy of formation from the pure elements = -38.1 meV per atom
1.0
3.441 0.000 0.000
0.000 3.441 0.000
0.000 0.000 22.700
Al Sc Ho
1 4 5
direct
0.000 0.000 0.000
0.000 0.000 0.397
0.000 0.000 0.809
0.000 0.000 0.191
0.000 0.000 0.603
0.500 0.500 0.294
0.500 0.500 0.086
0.500 0.500 0.706
0.500 0.500 0.500
0.500 0.500 0.914